Below is crystalline KBaH2F6 at its relaxed geometry, with properties calculated at the PBE level.

electronic total energy: -4.491 eV per atom

a b c (Å): 9.314 10.503 7.383
angles (deg): 90.00 116.32 90.00
Space group C2/c (No. 15)
Symmetry-distinct sites (fractional):
K (0.000, 0.093, 0.250) (multiplicity 4)
Ba (0.000, 0.331, 0.750) (multiplicity 4)
H (0.238, 0.171, 0.753) (multiplicity 8)
F (0.097, 0.460, 0.500) (multiplicity 8)
F (0.134, 0.110, 0.654) (multiplicity 8)
F (0.177, 0.248, 0.142) (multiplicity 8)

Below is crystalline Ba2LiHF6 at its relaxed geometry, with properties calculated at the PBE level.

electronic total energy: -5.162 eV per atom

a b c (Å): 9.450 6.079 6.080
angles (deg): 90.00 129.85 90.00
Space group C2/m (No. 12)
Symmetry-distinct sites (fractional):
Ba (0.250, 0.000, 0.249) (multiplicity 4)
Li (0.000, 0.000, 0.500) (multiplicity 2)
H (0.000, 0.500, 0.000) (multiplicity 2)
F (0.001, 0.220, 0.282) (multiplicity 8)
F (0.164, 0.500, 0.162) (multiplicity 4)